Record 1
ScCrS2: relaxed, GGA-PBE.

```
ScCrS2
1.0
-2.7833 2.7833 5.9092
2.7833 -2.7833 5.9092
2.7833 2.7833 -5.9092
Sc Cr S
2 2 4
Direct
0.0000 0.0000 0.0000
0.7500 0.2500 0.5000
0.2500 0.7500 0.5000
0.5000 0.5000 0.0000
0.1316 0.6250 0.0066
0.3750 0.3816 0.5066
0.6184 0.1250 0.9934
0.8750 0.8684 0.4934
```

Output
E above lowest polymorph in meV/atom: 0
DOS(E_F) in states/eV/atom: 0.45
Formation energy (no corrections) in eV/atom: -1.00

---

Record 2
Tl2In12Ag7: relaxed, GGA-PBE.

```
Tl2In12Ag7
1.0
11.6880 0.0000 0.0000
-5.8440 10.1221 0.0000
0.0000 0.0000 4.3507
Tl In Ag
2 12 7
Direct
0.0000 0.0000 0.0000
0.3333 0.6667 0.5000
0.0534 0.2918 0.5000
0.1058 0.7216 0.0000
0.2384 0.9466 0.5000
0.2784 0.3842 0.0000
0.3854 0.1731 0.0000
0.5327 0.4230 0.5000
0.5770 0.1097 0.5000
0.6158 0.8942 0.0000
0.7082 0.7616 0.5000
0.7877 0.6146 0.0000
0.8269 0.2123 0.0000
0.8903 0.4673 0.5000
0.0831 0.4714 0.0000
0.2316 0.1922 0.5000
0.3883 0.9169 0.0000
0.5286 0.6117 0.0000
0.6667 0.3333 0.0000
0.8078 0.0394 0.5000
0.9606 0.7684 0.5000
```

Output
DFT formation energy in eV/atom: 0.0231
DOS(E_F) in states/eV/atom: 0.40

---

Record 3
NbSbI2N: relaxed, GGA-PBE.

```
NbSbI2N
1.0
5.8002 0.0000 0.0000
0.0000 5.8002 0.0000
0.0000 0.0000 3.9239
Nb Sb I N
1 1 2 1
Direct
0.0000 0.0000 0.0000
0.5000 0.5000 0.5000
0.0000 0.5000 0.0000
0.5000 0.0000 0.0000
0.0000 0.0000 0.5000
```

Output
E above lowest polymorph in meV/atom: 0
DOS(E_F) in states/eV/atom: 0.95
Formation energy (no corrections) in eV/atom: 0.30

---

Q: Which of these has the highest DOS(E_F)?
A: NbSbI2N